(1)
Sr2Ca3Sn4: relaxed, PBE.

a b c (Å): 8.725 8.611 8.258
angles (deg): 90.00 107.19 90.00
Positions (direct):
Sr 0.195 0.175 0.069
Sr 0.195 0.325 0.569
Sr 0.805 0.675 0.431
Sr 0.805 0.825 0.931
Ca 0.248 0.676 0.248
Ca 0.248 0.824 0.748
Ca 0.500 0.000 0.500
Ca 0.500 0.500 0.000
Ca 0.752 0.176 0.252
Ca 0.752 0.324 0.752
Sn 0.075 0.532 0.865
Sn 0.075 0.968 0.365
Sn 0.498 0.122 0.877
Sn 0.498 0.378 0.377
Sn 0.502 0.622 0.623
Sn 0.502 0.878 0.123
Sn 0.925 0.032 0.635
Sn 0.925 0.468 0.135

DFT formation energy = -5.96 eV per formula unit
magnetization = 0.00 μB per cell
E_tot = -3.48 eV/atom

(2)
SrCaSn: relaxed, PBE.

a b c (Å): 8.425 5.189 9.663
angles (deg): 90.00 90.00 90.00
Positions (direct):
Sr 0.021 0.250 0.183
Sr 0.479 0.750 0.683
Sr 0.521 0.250 0.317
Sr 0.979 0.750 0.817
Ca 0.150 0.250 0.570
Ca 0.350 0.750 0.070
Ca 0.650 0.250 0.930
Ca 0.850 0.750 0.430
Sn 0.236 0.750 0.390
Sn 0.264 0.250 0.890
Sn 0.736 0.750 0.110
Sn 0.764 0.250 0.610

DFT formation energy = -2.05 eV per formula unit
magnetization = 0.00 μB per cell
E_tot = -3.24 eV/atom

(3)
SrCaSn2Te4: relaxed, PBE.

a b c (Å): 7.957 4.591 8.011
angles (deg): 90.00 109.30 90.00
Positions (direct):
Sr 0.000 0.000 0.000
Ca 0.500 0.500 0.000
Sn 0.000 0.500 0.500
Sn 0.500 0.000 0.500
Te 0.256 0.000 0.748
Te 0.259 0.500 0.256
Te 0.741 0.500 0.744
Te 0.744 0.000 0.252

uncorrected formation energy = -7.56 eV/f.u.
magnetization = 0.00 μB per cell
E_tot = -3.98 eV/atom

(4)
Sr2CaSnTe4: relaxed, PBE.

a b c (Å): 8.055 4.640 8.073
angles (deg): 90.00 109.39 90.00
Positions (direct):
Sr 0.000 0.000 0.000
Sr 0.000 0.500 0.500
Ca 0.500 0.000 0.500
Sn 0.500 0.500 0.000
Te 0.262 0.000 0.752
Te 0.263 0.500 0.255
Te 0.737 0.500 0.745
Te 0.738 0.000 0.248

uncorrected formation energy = -10.65 eV/f.u.
magnetization = 0.00 μB per cell
E_tot = -4.07 eV/atom

(5)
SrCaTlSn: relaxed, PBE.

a b c (Å): 7.962 7.962 7.962
angles (deg): 90.00 90.00 90.00
Positions (direct):
Sr 0.000 0.000 0.000
Sr 0.000 0.500 0.500
Sr 0.500 0.000 0.500
Sr 0.500 0.500 0.000
Ca 0.000 0.000 0.500
Ca 0.000 0.500 0.000
Ca 0.500 0.000 0.000
Ca 0.500 0.500 0.500
Tl 0.250 0.250 0.250
Tl 0.250 0.750 0.750
Tl 0.750 0.250 0.750
Tl 0.750 0.750 0.250
Sn 0.250 0.250 0.750
Sn 0.250 0.750 0.250
Sn 0.750 0.250 0.250
Sn 0.750 0.750 0.750

DFT formation energy = -2.08 eV per formula unit
magnetization = 0.00 μB per cell
E_tot = -3.03 eV/atom

(6)
SrCa2Zn2Sn2: relaxed, PBE.

a b c (Å): 9.861 9.861 9.861
angles (deg): 28.47 28.47 28.47
Positions (direct):
Sr 0.000 0.000 0.000
Ca 0.136 0.136 0.136
Ca 0.864 0.864 0.864
Zn 0.434 0.434 0.434
Zn 0.566 0.566 0.566
Sn 0.257 0.257 0.257
Sn 0.743 0.743 0.743

DFT formation energy = -2.99 eV per formula unit
magnetization = 0.00 μB per cell
E_tot = -2.75 eV/atom

(7)
Sr2CaZn3Sn4: relaxed, PBE.

a b c (Å): 4.739 4.739 12.208
angles (deg): 90.00 90.00 90.00
Positions (direct):
Sr 0.000 0.500 0.234
Sr 0.500 0.000 0.766
Ca 0.000 0.000 0.500
Zn 0.000 0.500 0.870
Zn 0.500 0.000 0.130
Zn 0.500 0.500 0.500
Sn 0.000 0.000 0.000
Sn 0.000 0.500 0.653
Sn 0.500 0.000 0.347
Sn 0.500 0.500 0.000

DFT formation energy = -4.03 eV per formula unit
magnetization = 0.00 μB per cell
E_tot = -2.92 eV/atom

(8)
CaTa3Sn: relaxed, PBE.

a b c (Å): 4.792 4.792 4.792
angles (deg): 90.00 90.00 90.00
Positions (direct):
Ca 0.000 0.000 0.000
Ta 0.000 0.000 0.500
Ta 0.000 0.500 0.000
Ta 0.500 0.000 0.000
Sn 0.500 0.500 0.500

DFT formation energy = 11.65 eV per formula unit
distance to the lowest polymorph of the same formula = 693.6 meV/atom
magnetization = 0.00 μB per cell
E_tot = -5.98 eV/atom

(9)
CaTa3Sn: relaxed, PBE.

a b c (Å): 5.134 5.134 5.134
angles (deg): 90.00 90.00 90.00
Positions (direct):
Ca 0.000 0.000 0.000
Ta 0.000 0.500 0.500
Ta 0.500 0.000 0.500
Ta 0.500 0.500 0.000
Sn 0.500 0.500 0.500

DFT formation energy = 8.18 eV per formula unit
distance to the lowest polymorph of the same formula = 0.0 meV/atom
magnetization = 0.00 μB per cell
E_tot = -6.68 eV/atom

(10)
Ca2TaSn2: relaxed, PBE.

a b c (Å): 4.143 4.143 14.516
angles (deg): 90.00 90.00 90.00
Positions (direct):
Ca 0.000 0.500 0.250
Ca 0.000 0.500 0.750
Ca 0.500 0.000 0.250
Ca 0.500 0.000 0.750
Ta 0.000 0.000 0.000
Ta 0.500 0.500 0.500
Sn 0.000 0.000 0.407
Sn 0.000 0.000 0.593
Sn 0.500 0.500 0.093
Sn 0.500 0.500 0.907

DFT formation energy = 2.09 eV per formula unit
distance to the lowest polymorph of the same formula = 508.9 meV/atom
magnetization = 0.00 μB per cell
E_tot = -4.36 eV/atom

(11)
Ca3TaSn: relaxed, PBE.

a b c (Å): 5.849 5.849 5.849
angles (deg): 90.00 90.00 90.00
Positions (direct):
Ca 0.000 0.000 0.500
Ca 0.000 0.500 0.000
Ca 0.500 0.000 0.000
Ta 0.500 0.500 0.500
Sn 0.000 0.000 0.000

DFT formation energy = 4.45 eV per formula unit
distance to the lowest polymorph of the same formula = 0.0 meV/atom
magnetization = 4.96 μB per cell
E_tot = -3.48 eV/atom

(12)
Ca2TaSn2: relaxed, PBE.

a b c (Å): 7.524 7.524 4.780
angles (deg): 90.00 90.00 90.00
Positions (direct):
Ca 0.171 0.329 0.000
Ca 0.329 0.829 0.000
Ca 0.671 0.171 0.000
Ca 0.829 0.671 0.000
Ta 0.000 0.000 0.500
Ta 0.500 0.500 0.500
Sn 0.141 0.641 0.500
Sn 0.359 0.141 0.500
Sn 0.641 0.859 0.500
Sn 0.859 0.359 0.500

DFT formation energy = -0.46 eV per formula unit
distance to the lowest polymorph of the same formula = 0.0 meV/atom
magnetization = 2.00 μB per cell
E_tot = -4.86 eV/atom